Record 1
# PBE Cs4Hg, optimized geometry
# Uncorrected energy (Ha/atom): -0.0308
# Magnetization (μB/f.u.): 0.00
# Formation enthalpy at 0 K (eV per atom): -0.10
data_Cs4Hg
_chemical_formula_sum 'Cs4 Hg1'
_cell_length_a 7.700
_cell_length_b 7.700
_cell_length_c 7.700
_cell_angle_alpha 90.00
_cell_angle_beta 90.00
_cell_angle_gamma 90.00
_space_group_name_H-M_alt 'P m -3 m'
_space_group_IT_number 221
_space_group_name_Hall '-P 4 2 3'
loop_
_atom_site_label
_atom_site_type_symbol
_atom_site_fract_x
_atom_site_fract_y
_atom_site_fract_z
Cs1 Cs 0.000 0.000 0.000
Cs2 Cs 0.000 0.500 0.500
Hg1 Hg 0.500 0.500 0.500

---

Record 2
# PBE CsHg, optimized geometry
# Uncorrected energy (Ha/atom): -0.0302
# Magnetization (μB/f.u.): 0.00
# Formation enthalpy at 0 K (eV per atom): -0.24
data_CsHg
_chemical_formula_sum 'Cs4 Hg4'
_cell_length_a 13.973
_cell_length_b 5.525
_cell_length_c 5.388
_cell_angle_alpha 90.00
_cell_angle_beta 90.05
_cell_angle_gamma 90.00
_space_group_name_H-M_alt 'C 1 2/m 1'
_space_group_IT_number 12
loop_
_space_group_symop_operation_xyz
'x,y,z'
'-x,-y,-z'
'-x,y,-z'
'x,-y,z'
'x+1/2,y+1/2,z'
'-x+1/2,-y+1/2,-z'
'-x+1/2,y+1/2,-z'
'x+1/2,-y+1/2,z'
loop_
_atom_site_label
_atom_site_type_symbol
_atom_site_fract_x
_atom_site_fract_y
_atom_site_fract_z
Cs1 Cs 0.144 0.000 0.249
Hg1 Hg 0.060 0.500 0.749

---

Record 3
# PBE Cs5Hg2, optimized geometry
# Uncorrected energy (Ha/atom): -0.0312
# Magnetization (μB/f.u.): 0.00
# Formation enthalpy at 0 K (eV per atom): -0.15
data_Cs5Hg2
_chemical_formula_sum 'Cs20 Hg8'
_cell_length_a 22.047
_cell_length_b 8.983
_cell_length_c 10.289
_cell_angle_alpha 90.00
_cell_angle_beta 97.66
_cell_angle_gamma 90.00
_space_group_name_H-M_alt 'C 1 2/c 1'
_space_group_IT_number 15
loop_
_space_group_symop_operation_xyz
'x,y,z'
'-x,-y,-z'
'-x,y,-z+1/2'
'x,-y,z+1/2'
'x+1/2,y+1/2,z'
'-x+1/2,-y+1/2,-z'
'-x+1/2,y+1/2,-z+1/2'
'x+1/2,-y+1/2,z+1/2'
loop_
_atom_site_label
_atom_site_type_symbol
_atom_site_fract_x
_atom_site_fract_y
_atom_site_fract_z
Cs1 Cs 0.000 0.079 0.250
Cs2 Cs 0.090 0.390 0.923
Cs3 Cs 0.218 0.081 0.318
Hg1 Hg 0.110 0.206 0.582

---

Record 4
# PBE CsHg, optimized geometry
# Uncorrected energy (Ha/atom): -0.0276
# Magnetization (μB/f.u.): 0.00
# Formation enthalpy at 0 K (eV per atom): -0.17
data_CsHg
_chemical_formula_sum 'Cs4 Hg4'
_cell_length_a 7.745
_cell_length_b 7.745
_cell_length_c 7.703
_cell_angle_alpha 90.00
_cell_angle_beta 90.00
_cell_angle_gamma 90.00
_space_group_name_H-M_alt 'P 42/m n m'
_space_group_IT_number 136
_space_group_name_Hall '-P 4n 2n'
loop_
_atom_site_label
_atom_site_type_symbol
_atom_site_fract_x
_atom_site_fract_y
_atom_site_fract_z
Cs1 Cs 0.190 0.190 0.000
Hg1 Hg 0.145 0.145 0.500

---

Record 5
# PBE Cs2Hg5, optimized geometry
# Uncorrected energy (Ha/atom): -0.0259
# Magnetization (μB/f.u.): 0.00
# Formation enthalpy at 0 K (eV per atom): -0.25
data_Cs2Hg5
_chemical_formula_sum 'Cs4 Hg10'
_cell_length_a 12.471
_cell_length_b 5.740
_cell_length_c 7.901
_cell_angle_alpha 90.00
_cell_angle_beta 104.24
_cell_angle_gamma 90.00
_space_group_name_H-M_alt 'C 1 2/m 1'
_space_group_IT_number 12
loop_
_space_group_symop_operation_xyz
'x,y,z'
'-x,-y,-z'
'-x,y,-z'
'x,-y,z'
'x+1/2,y+1/2,z'
'-x+1/2,-y+1/2,-z'
'-x+1/2,y+1/2,-z'
'x+1/2,-y+1/2,z'
loop_
_atom_site_label
_atom_site_type_symbol
_atom_site_fract_x
_atom_site_fract_y
_atom_site_fract_z
Cs1 Cs 0.136 0.000 0.281
Hg1 Hg 0.000 0.500 0.500
Hg2 Hg 0.101 0.500 0.911
Hg3 Hg 0.176 0.000 0.796

---

Record 6
# PBE CsHg6, optimized geometry
# Uncorrected energy (Ha/atom): -0.0193
# Magnetization (μB/f.u.): 0.00
# Formation enthalpy at 0 K (eV per atom): -0.14
data_CsHg6
_chemical_formula_sum 'Cs2 Hg12'
_cell_length_a 7.052
_cell_length_b 7.052
_cell_length_c 9.735
_cell_angle_alpha 90.00
_cell_angle_beta 90.00
_cell_angle_gamma 90.00
_space_group_name_H-M_alt 'P 4/n b m'
_space_group_IT_number 125
loop_
_space_group_symop_operation_xyz
'x,y,z'
'-x,-y,-z'
'-y+1/2,x,z'
'y+1/2,-x,-z'
'-x+1/2,-y+1/2,z'
'x+1/2,y+1/2,-z'
'y,-x+1/2,z'
'-y,x+1/2,-z'
'x,-y+1/2,-z'
'-x,y+1/2,z'
'-y+1/2,-x+1/2,-z'
'y+1/2,x+1/2,z'
'-x+1/2,y,-z'
'x+1/2,-y,z'
'y,x,-z'
'-y,-x,z'
loop_
_atom_site_label
_atom_site_type_symbol
_atom_site_fract_x
_atom_site_fract_y
_atom_site_fract_z
Cs1 Cs 0.250 0.750 0.000
Hg1 Hg 0.085 0.585 0.367
Hg2 Hg 0.250 0.250 0.180

---

- What is the magnetization in the sixth record?
  0.00 μB/f.u.

---

- Which value of magnetization does entry 2 give?
  0.00 μB/f.u.

---

- Which formula does entry 2 have?
  CsHg